DFT (PBE) results for crystalline BPS2Br at its relaxed geometry.

Calculated values
Formation energy (no corrections) in eV/atom: 0.921
Magnetic moment in μB per atom: 0.000
Space group: No. 123

Cell and atoms, written as extended XYZ:
```
5
Lattice="3.979 0.000 0.000 0.000 3.979 0.000 0.000 0.000 5.491" Properties=species:S:1:pos:R:3 pbc="T T T"
B 0.000 0.000 0.000
P 0.000 0.000 2.746
S 0.000 1.989 0.000
S 1.989 0.000 0.000
Br 1.989 1.989 2.746
```

DFT (PBE) results for crystalline Th2AlZn4Au3 at its relaxed geometry.

Calculated values
Formation enthalpy at 0 K in eV/atom: -0.45
Magnetic moment in μB per atom: 0.000
Space group: No. 115

Cell and atoms, written as extended XYZ:
```
10
Lattice="4.201 0.000 0.000 0.000 4.201 0.000 0.000 0.000 11.451" Properties=species:S:1:pos:R:3 pbc="T T T"
Th 0.000 2.101 2.798
Th 2.101 0.000 8.652
Al 2.101 2.101 0.000
Zn 0.000 0.000 5.725
Zn 0.000 2.101 9.921
Zn 2.101 0.000 1.530
Zn 2.101 2.101 5.725
Au 0.000 0.000 0.000
Au 0.000 2.101 7.366
Au 2.101 0.000 4.085
```

DFT (PBE) results for crystalline Sm2MgGe at its relaxed geometry.

Calculated values
Formation enthalpy at 0 K in eV/atom: -0.42
Magnetic moment in μB per atom: 0.000
Space group: No. 63

Cell and atoms, written as extended XYZ:
```
8
Lattice="2.155 -7.276 0.000 2.155 7.276 0.000 0.000 0.000 7.373" Properties=species:S:1:pos:R:3 pbc="T T T"
Sm 2.155 5.269 3.719
Sm 2.155 5.269 7.340
Sm 2.155 -5.269 0.033
Sm 2.155 -5.269 3.653
Mg 2.155 0.094 5.530
Mg 2.155 -0.094 1.843
Ge 2.155 2.858 5.530
Ge 2.155 -2.858 1.843
```

DFT (PBE) results for crystalline Y6Cu5Os at its relaxed geometry.

Calculated values
Formation enthalpy at 0 K in eV/atom: -0.24
Magnetic moment in μB per atom: 0.000
Space group: No. 12

Cell and atoms, written as extended XYZ:
```
12
Lattice="4.258 -7.360 0.000 4.258 7.360 0.000 -2.834 0.000 4.017" Properties=species:S:1:pos:R:3 pbc="T T T"
Y -0.022 2.409 2.997
Y 1.377 0.000 0.978
Y -0.022 -2.409 2.997
Y 5.703 2.409 1.019
Y 4.304 0.000 3.038
Y 5.703 -2.409 1.019
Cu 4.258 4.906 0.000
Cu 2.840 2.441 2.008
Cu 4.258 0.000 0.000
Cu 2.840 -2.441 2.008
Cu 4.258 -4.906 0.000
Os -1.417 0.000 2.008
```

DFT (PBE) results for crystalline PmNd3Ho3Te8 at its relaxed geometry.

Calculated values
Formation energy (no corrections) in eV/atom: -1.407
Magnetic moment in μB per atom: 0.000
Space group: No. 166

Cell and atoms, written as extended XYZ:
```
15
Lattice="4.397 2.539 7.211 -4.397 2.539 7.211 0.000 -5.078 7.211" Properties=species:S:1:pos:R:3 pbc="T T T"
Pm 0.000 0.000 0.000
Nd -4.397 0.000 10.816
Nd -2.199 1.269 3.605
Nd 2.199 1.269 3.605
Ho -2.199 -1.269 7.211
Ho -2.199 1.269 14.422
Ho 0.000 2.539 7.211
Te 0.000 0.000 5.500
Te 0.000 -2.418 9.006
Te -2.094 1.209 9.006
Te -2.094 -1.209 12.627
Te 2.094 1.209 9.006
Te 2.094 -1.209 12.627
Te 0.000 2.418 12.627
Te 0.000 0.000 16.132
```

DFT (PBE) results for crystalline VGaAgRu2 at its relaxed geometry.

Calculated values
Formation enthalpy at 0 K in eV/atom: 1.28
Magnetic moment in μB per atom: 0.011
Space group: No. 123

Cell and atoms, written as extended XYZ:
```
5
Lattice="4.525 0.000 0.000 0.000 4.525 0.000 0.000 0.000 4.505" Properties=species:S:1:pos:R:3 pbc="T T T"
V 0.000 0.000 0.000
Ga 0.000 0.000 2.253
Ag 2.263 2.263 0.000
Ru 0.000 2.263 2.253
Ru 2.263 0.000 2.253
```

DFT (PBE) results for crystalline RbAg2AuCl8 at its relaxed geometry.

Calculated values
Formation energy (no corrections) in eV/atom: -0.548
Magnetic moment in μB per atom: 0.113
Space group: No. 2

Cell and atoms, written as extended XYZ:
```
12
Lattice="7.109 0.000 0.000 -2.522 6.834 0.000 -0.015 -0.035 7.985" Properties=species:S:1:pos:R:3 pbc="T T T"
Rb 0.000 0.000 0.000
Ag 2.280 3.386 5.962
Ag 2.292 3.413 2.023
Au -0.008 -0.017 3.993
Cl 1.737 0.208 2.465
Cl 1.727 0.231 5.529
Cl 0.712 3.516 7.985
Cl 0.714 3.597 3.989
Cl 3.858 3.202 3.996
Cl 3.860 3.283 0.000
Cl 2.845 6.568 2.456
Cl 2.835 6.591 5.520
```

DFT (PBE) results for crystalline Tb3Pr3SmTe8 at its relaxed geometry.

Calculated values
Formation energy (no corrections) in eV/atom: -1.431
Magnetic moment in μB per atom: 0.000
Space group: No. 166

Cell and atoms, written as extended XYZ:
```
15
Lattice="4.425 2.554 7.276 -4.425 2.554 7.276 0.000 -5.109 7.276" Properties=species:S:1:pos:R:3 pbc="T T T"
Tb -2.212 -1.277 7.276
Tb -2.212 1.277 14.551
Tb 0.000 2.554 7.275
Pr -4.425 0.000 10.913
Pr -2.212 1.277 3.638
Pr 2.212 1.277 3.638
Sm 0.000 0.000 0.000
Te 0.000 0.000 5.545
Te 0.000 -2.457 9.074
Te -2.128 1.228 9.074
Te -2.128 -1.228 12.753
Te 2.128 1.228 9.074
Te 2.128 -1.228 12.753
Te 0.000 2.457 12.753
Te 0.000 0.000 16.281
```

DFT (PBE) results for crystalline Be3NiAu2 at its relaxed geometry.

Calculated values
Formation enthalpy at 0 K in eV/atom: -0.19
Magnetic moment in μB per atom: 0.000
Space group: No. 123

Cell and atoms, written as extended XYZ:
```
6
Lattice="2.865 0.000 0.000 0.000 2.865 0.000 0.000 0.000 8.589" Properties=species:S:1:pos:R:3 pbc="T T T"
Be 0.000 0.000 0.000
Be 0.000 0.000 3.160
Be 0.000 0.000 5.429
Ni 1.432 1.432 4.294
Au 1.432 1.432 1.549
Au 1.432 1.432 7.040
```

DFT (PBE) results for crystalline RePdRuRh2 at its relaxed geometry.

Calculated values
Formation enthalpy at 0 K in eV/atom: 1.65
Magnetic moment in μB per atom: 0.548
Space group: No. 123

Cell and atoms, written as extended XYZ:
```
5
Lattice="4.641 0.000 0.000 0.000 4.641 0.000 0.000 0.000 4.776" Properties=species:S:1:pos:R:3 pbc="T T T"
Re 0.000 0.000 0.000
Pd 0.000 0.000 2.388
Ru 2.321 2.321 2.388
Rh 0.000 2.321 0.000
Rh 2.321 0.000 0.000
```

DFT (PBE) results for crystalline MgNiW at its relaxed geometry.

Calculated values
Formation enthalpy at 0 K in eV/atom: 0.36
Magnetic moment in μB per atom: 0.000
Space group: No. 63

Cell and atoms, written as extended XYZ:
```
6
Lattice="2.230 -3.856 0.000 2.230 3.856 0.000 0.000 0.000 5.121" Properties=species:S:1:pos:R:3 pbc="T T T"
Mg 2.230 2.573 3.841
Mg 2.230 -2.573 1.280
Ni 2.230 2.567 1.280
Ni 2.230 -2.567 3.841
W 2.230 0.000 0.000
W 2.230 0.000 2.561
```

DFT (PBE) results for crystalline TiB2IrBr at its relaxed geometry.

Calculated values
Formation energy (no corrections) in eV/atom: 1.987
Magnetic moment in μB per atom: 0.000
Space group: No. 123

Cell and atoms, written as extended XYZ:
```
5
Lattice="4.034 0.000 0.000 0.000 4.034 0.000 0.000 0.000 4.649" Properties=species:S:1:pos:R:3 pbc="T T T"
Ti 0.000 0.000 0.000
B 0.000 2.017 2.325
B 2.017 0.000 2.325
Ir 2.017 2.017 0.000
Br 0.000 0.000 2.325
```